VASP calculation (PBE+U) on PaMn2BO8 after structural relaxation.

Unit cell a=5.6959 b=5.6959 c=5.3075 alpha=90.00 beta=90.00 gamma=120.00
Last column: magnetic moment on the atom in μB.
Fractional coordinates of all 12 atoms:
Mn (0.6667, 0.3333, 0.9200)  3.59
B (0.0000, 0.0000, 0.0000)  0.03
Pa (0.0000, 0.0000, 0.5000)  0.12
O (0.8549, 0.1451, 0.8087)  -0.07
O (0.1451, 0.2902, 0.1913)  -0.07
O (0.3333, 0.6667, 0.7585)  -0.47
O (0.7098, 0.8549, 0.1913)  -0.07
O (0.8549, 0.7098, 0.8087)  -0.07
O (0.6667, 0.3333, 0.2415)  -0.47
O (0.1451, 0.8549, 0.1913)  -0.07
Mn (0.3333, 0.6667, 0.0800)  3.59
O (0.2902, 0.1451, 0.8087)  -0.07

Values from the calculation:
**Calculated total energy**: -88.2 eV/cell